Entry 1:
Entry from the Alexandria database: a relaxed structure of VSbSe4O12 (GGA+U).

a = 8.219 Å, b = 8.270 Å, c = 8.268 Å
α = 90.00°, β = 90.46°, γ = 90.00°
Space group P2_1/c (No. 14)
One atom of each set of equivalent atoms:
V  0.000  0.000  0.000
Sb  0.500  0.000  0.500
Se  0.165  0.171  0.326
Se  0.325  0.672  0.332
O  0.031  0.038  0.241
O  0.042  0.239  0.965
O  0.245  0.546  0.470
O  0.261  0.025  0.462
O  0.461  0.535  0.239
O  0.477  0.740  0.959

Entry 2:
Entry from the Alexandria database: a relaxed structure of SbWSeO2 (GGA+U).

a = 4.040 Å, b = 4.040 Å, c = 5.270 Å
α = 90.00°, β = 90.00°, γ = 90.00°
Space group P4/mmm (No. 123)
One atom of each set of equivalent atoms:
Sb  0.000  0.000  0.000
W  0.500  0.500  0.000
Se  0.500  0.500  0.500
O  0.000  0.500  0.500

Results for uncorrected energy: -208.48; -23.16 (in eV per cell, following the order of the records).
Results for total moment: 4.000; 2.948 (in μB per cell, following the order of the records).